[1]
Compound: ScInSi
Source: Alexandria via LeMat-Bulk
Functional: PBE
Structure: relaxed

It has space group Fmm2 (No. 42), with a = 4.2034 Å, b = 5.3237 Å, c = 11.1450 Å, α = 90.00°, β = 90.00° and γ = 90.00°. The asymmetric unit holds Sc at (0.0000, 0.0000, 0.0000), In at (0.0000, 0.0000, 0.6966) and Si at (0.0000, 0.0000, 0.3553).

For the formation energy (no corrections), the calculation gives -3.9 kcal/mol of atoms. As for the volume: 249.4 Å³/cell. The crystal system is orthorhombic. The value obtained for the density of states at the Fermi level is 0.476 states/eV per atom.

=====

[2]
Compound: Sc2InSi
Source: Alexandria via LeMat-Bulk
Functional: PBE
Structure: relaxed

It has space group I-4m2 (No. 119), with a = 4.0799 Å, b = 4.0799 Å, c = 9.8788 Å, α = 90.00°, β = 90.00° and γ = 90.00°. The asymmetric unit holds Sc at (0.0000, 0.0000, 0.0000), Sc at (0.0000, 0.5000, 0.2500), In at (0.0000, 0.0000, 0.5000) and Si at (0.0000, 0.5000, 0.7500).

For the formation energy (no corrections), the calculation gives -9.8 kcal/mol of atoms. As for the volume: 164.4 Å³/cell. The crystal system is tetragonal. The value obtained for the density of states at the Fermi level is 0.734 states/eV per atom.

=====

[3]
Compound: ScInSi
Source: Alexandria via LeMat-Bulk
Functional: PBE
Structure: relaxed

It has space group F-43m (No. 216), with a = 6.5691 Å, b = 6.5691 Å, c = 6.5691 Å, α = 90.00°, β = 90.00° and γ = 90.00°. The asymmetric unit holds Sc at (0.0000, 0.0000, 0.0000), In at (0.2500, 0.2500, 0.2500) and Si at (0.2500, 0.2500, 0.7500).

For the formation energy (no corrections), the calculation gives 0.4 kcal/mol of atoms. As for the volume: 283.5 Å³/cell. The crystal system is cubic. The value obtained for the density of states at the Fermi level is 0.362 states/eV per atom.

=====

[4]
Compound: ScInSi
Source: Alexandria via LeMat-Bulk
Functional: PBE
Structure: relaxed

It has space group F-43m (No. 216), with a = 6.4110 Å, b = 6.4110 Å, c = 6.4110 Å, α = 90.00°, β = 90.00° and γ = 90.00°. The asymmetric unit holds Sc at (0.0000, 0.0000, 0.0000), In at (0.0000, 0.0000, 0.5000) and Si at (0.2500, 0.2500, 0.2500).

For the formation energy (no corrections), the calculation gives -1.8 kcal/mol of atoms. As for the volume: 263.5 Å³/cell. The crystal system is cubic. The value obtained for the density of states at the Fermi level is 0.971 states/eV per atom.

=====

volume of number 4 (ScInSi)? 263.5 Å³/cell